1.
Dy3AlC | PBEsol | optimized geometry

Output
Energy of formation in eV per atom: -0.3990
Magnetic moment in μB per formula unit: 0.0
N(E_F) in states/eV per cell: 2.1
Total energy in eV per atom: -6.13

a = 4.8247 Å, b = 4.8247 Å, c = 4.8247 Å
α = 90.00°, β = 90.00°, γ = 90.00°
Positions (direct):
Dy1 0.0000 0.0000 0.5000
Dy2 0.0000 0.5000 0.0000
Dy3 0.5000 0.0000 0.0000
Al1 0.5000 0.5000 0.5000
C1 0.0000 0.0000 0.0000

2.
Er3AlC | PBEsol | optimized geometry

Output
Energy of formation in eV per atom: -0.4475
Magnetic moment in μB per formula unit: 0.0
N(E_F) in states/eV per cell: 1.9
Total energy in eV per atom: -6.15

a = 4.7711 Å, b = 4.7711 Å, c = 4.7711 Å
α = 90.00°, β = 90.00°, γ = 90.00°
Positions (direct):
Er1 0.0000 0.0000 0.5000
Er2 0.0000 0.5000 0.0000
Er3 0.5000 0.0000 0.0000
Al1 0.5000 0.5000 0.5000
C1 0.0000 0.0000 0.0000

Among the records above, which one has the highest N(E_F)? Dy3AlC

Look up the energy of formation of the second one. -0.4475 eV per atom

Among the records above, which one has the highest total energy? Dy3AlC